(1)
Computed, not measured: an optimized crystal structure of Zr2CuSnSb at the PBE level of DFT.

Properties
volume	26.8	A^3/atom
symmetry	No. 123
energy relative to the elements, uncorrected	0.442	eV per atom

abc: 5.380 5.380 4.635
angles: 90.00 90.00 90.00
Atoms (fractional coordinates):
Zr 0.000 0.500 0.000
Zr 0.500 0.000 0.000
Cu 0.000 0.000 0.500
Sn 0.500 0.500 0.500
Sb 0.000 0.000 0.000

=====

(2)
Computed, not measured: an optimized crystal structure of Sr2CuSb at the PBE level of DFT.

Properties
volume	29.5	A^3/atom
symmetry	No. 216
energy relative to the elements, uncorrected	-0.037	eV per atom

abc: 5.506 5.506 5.506
angles: 60.00 60.00 60.00
Atoms (fractional coordinates):
Sr 0.000 0.000 0.000
Sr 0.250 0.250 0.250
Cu 0.500 0.500 0.500
Sb 0.750 0.750 0.750

=====

(3)
Computed, not measured: an optimized crystal structure of Sr2CuSb at the PBE level of DFT.

Properties
volume	36.0	A^3/atom
symmetry	No. 47
energy relative to the elements, uncorrected	-0.407	eV per atom

abc: 4.687 4.700 6.534
angles: 90.00 90.00 90.00
Atoms (fractional coordinates):
Sr 0.000 0.000 0.000
Sr 0.500 0.500 0.500
Cu 0.000 0.000 0.500
Sb 0.500 0.500 0.000

=====

(4)
Computed, not measured: an optimized crystal structure of SrCu3Sb2 at the PBE level of DFT.

Properties
volume	21.6	A^3/atom
symmetry	No. 12
energy relative to the elements, uncorrected	-0.329	eV per atom
offset from the most stable computed form	0.000	eV per atom

abc: 8.467 8.467 8.044
angles: 113.73 113.73 29.58
Atoms (fractional coordinates):
Sr 0.145 0.145 0.072
Sr 0.855 0.855 0.928
Cu 0.034 0.034 0.390
Cu 0.305 0.305 0.534
Cu 0.416 0.416 0.387
Cu 0.584 0.584 0.613
Cu 0.695 0.695 0.466
Cu 0.966 0.966 0.610
Sb 0.191 0.191 0.687
Sb 0.478 0.478 0.792
Sb 0.522 0.522 0.208
Sb 0.809 0.809 0.313

=====

(5)
Computed, not measured: an optimized crystal structure of Sr2CuSb at the PBE level of DFT.

Properties
volume	31.6	A^3/atom
symmetry	No. 8
energy relative to the elements, uncorrected	-0.564	eV per atom

abc: 6.437 6.437 4.581
angles: 90.00 90.00 41.81
Atoms (fractional coordinates):
Sr 0.000 0.000 0.000
Sr 0.718 0.718 0.500
Cu 0.292 0.292 0.998
Sb 0.427 0.427 0.500

=====

(6)
Computed, not measured: an optimized crystal structure of Sr2CuSb at the PBE level of DFT.

Properties
volume	30.5	A^3/atom
symmetry	No. 123
energy relative to the elements, uncorrected	-0.488	eV per atom

abc: 5.470 5.470 4.080
angles: 90.00 90.00 90.00
Atoms (fractional coordinates):
Sr 0.000 0.500 0.000
Sr 0.500 0.000 0.000
Cu 0.000 0.000 0.500
Sb 0.500 0.500 0.500

=====

(7)
Computed, not measured: an optimized crystal structure of SrCu3Sb3 at the PBE level of DFT.

Properties
volume	26.3	A^3/atom
symmetry	No. 223
energy relative to the elements, uncorrected	-0.110	eV per atom

abc: 7.167 7.167 7.167
angles: 90.00 90.00 90.00
Atoms (fractional coordinates):
Sr 0.000 0.000 0.000
Sr 0.500 0.500 0.500
Cu 0.000 0.250 0.500
Cu 0.000 0.750 0.500
Cu 0.250 0.500 0.000
Cu 0.500 0.000 0.250
Cu 0.500 0.000 0.750
Cu 0.750 0.500 0.000
Sb 0.000 0.500 0.250
Sb 0.000 0.500 0.750
Sb 0.250 0.000 0.500
Sb 0.500 0.250 0.000
Sb 0.500 0.750 0.000
Sb 0.750 0.000 0.500

=====

(8)
Computed, not measured: an optimized crystal structure of Sr2CuSb at the PBE level of DFT.

Properties
volume	30.5	A^3/atom
symmetry	No. 119
energy relative to the elements, uncorrected	-0.325	eV per atom

abc: 6.500 6.500 6.500
angles: 137.91 137.91 61.04
Atoms (fractional coordinates):
Sr 0.000 0.000 0.000
Sr 0.750 0.250 0.500
Cu 0.250 0.750 0.500
Sb 0.500 0.500 0.000